(1)
DFT (PBE) results for a relaxed Be3GaRu crystal.

ρ   5.05 Mg/m³
Total magnetic moment   0.059 μB per atom
Energy relative to the elements   1.032 eV/atom
Excess energy over the best structure of this formula in the dataset   0.451 eV per atom

Lattice parameters (Å, degrees): 4.022 4.022 4.022 90.00 90.00 90.00
Each line ends with the local moment (μB).
Fractional positions:
Ru  0.500  0.500  0.500  -0.26
Ga  0.000  0.000  0.000  -0.02
Be  0.000  0.500  0.000  0.00
Be  0.000  0.000  0.500  -0.01
Be  0.500  0.000  0.000  0.00

***

(2)
DFT (PBE) results for a relaxed CoP2Pd2 crystal.

ρ   7.92 Mg/m³
Total magnetic moment   0.000 μB per atom
Energy relative to the elements   -0.368 eV/atom

Lattice parameters (Å, degrees): 5.729 5.729 4.263 90.00 90.00 90.00
Fractional positions:
P  0.364  0.864  0.000
P  0.864  0.636  0.000
P  0.636  0.136  0.000
P  0.136  0.364  0.000
Co  0.000  0.000  0.000
Co  0.500  0.500  0.000
Pd  0.242  0.742  0.500
Pd  0.742  0.758  0.500
Pd  0.758  0.258  0.500
Pd  0.258  0.242  0.500

***

(3)
DFT (PBE) results for a relaxed SrAg5Pd2 crystal.

ρ   8.33 Mg/m³
Total magnetic moment   0.000 μB per atom
Energy relative to the elements   -0.117 eV/atom

Lattice parameters (Å, degrees): 4.136 6.741 6.741 74.97 72.13 72.13
Fractional positions:
Sr  0.000  0.000  0.000
Ag  0.000  0.500  0.500
Ag  0.651  0.528  0.169
Ag  0.349  0.472  0.831
Ag  0.349  0.831  0.472
Ag  0.651  0.169  0.528
Pd  0.724  0.776  0.776
Pd  0.276  0.224  0.224

***

(4)
DFT (PBE) results for a relaxed Fe2MoAu crystal.

ρ   11.51 Mg/m³
Total magnetic moment   1.224 μB per atom
Energy relative to the elements   0.197 eV/atom
Excess energy over the best structure of this formula in the dataset   0.035 eV per atom

Lattice parameters (Å, degrees): 2.678 2.678 8.463 90.00 90.00 105.90
Each line ends with the local moment (μB).
Fractional positions:
Au  0.500  0.500  0.750  0.05
Fe  0.000  0.000  0.008  2.56
Fe  0.000  0.000  0.492  2.56
Mo  0.500  0.500  0.250  -0.22

***

(5)
DFT (PBE) results for a relaxed BaTe2PtO8 crystal.

ρ   6.00 Mg/m³
Uncorrected formation energy   -1.04 eV per atom
Total magnetic moment   0.117 μB per atom

Lattice parameters (Å, degrees): 4.970 4.971 8.090 89.57 89.02 82.36
Each line ends with the local moment (μB).
Fractional positions:
Ba  0.000  0.000  0.500  0.01
Te  0.443  0.441  0.801  0.09
Te  0.557  0.559  0.199  0.09
Pt  0.000  0.000  0.000  0.19
O  0.213  0.827  0.195  0.16
O  0.723  0.730  0.016  0.04
O  0.832  0.220  0.196  0.16
O  0.787  0.173  0.805  0.16
O  0.277  0.270  0.984  0.04
O  0.168  0.780  0.804  0.16
O  0.663  0.676  0.402  0.06
O  0.337  0.324  0.598  0.06

***

(6)
DFT (PBE) results for a relaxed SmYGaRh crystal.

ρ   7.63 Mg/m³
Total magnetic moment   0.000 μB per atom
Energy relative to the elements   -0.630 eV/atom
Excess energy over the best structure of this formula in the dataset   0.073 eV per atom

Lattice parameters (Å, degrees): 5.024 5.024 5.024 60.00 60.00 60.00
Fractional positions:
Y  0.750  0.750  0.750
Rh  0.500  0.500  0.500
Ga  0.000  0.000  0.000
Sm  0.250  0.250  0.250

***

(7)
DFT (PBE) results for a relaxed BaTaBr2 crystal.

ρ   7.41 Mg/m³
Uncorrected formation energy   -0.22 eV per atom
Total magnetic moment   0.000 μB per atom
Excess energy over the best structure of this formula in the dataset   0.008 eV per atom

Lattice parameters (Å, degrees): 4.546 3.563 6.611 89.98 90.00 90.00
Fractional positions:
Ba  0.500  0.750  0.750
Br  0.000  0.249  0.020
Br  0.000  0.251  0.480
Ta  0.500  0.250  0.250

***

(8)
DFT (PBE) results for a relaxed Rb2BaMg2 crystal.

ρ   2.37 Mg/m³
Total magnetic moment   0.000 μB per atom
Energy relative to the elements   0.283 eV/atom
Excess energy over the best structure of this formula in the dataset   0.078 eV per atom

Lattice parameters (Å, degrees): 10.863 10.863 4.242 90.00 90.00 90.00
Fractional positions:
Mg  0.183  0.683  0.500
Mg  0.683  0.817  0.500
Mg  0.817  0.317  0.500
Mg  0.317  0.183  0.500
Ba  0.000  0.000  0.000
Ba  0.500  0.500  0.000
Rb  0.378  0.878  0.000
Rb  0.878  0.622  0.000
Rb  0.622  0.122  0.000
Rb  0.122  0.378  0.000

***

(9)
DFT (PBE) results for a relaxed Dy4FeAu crystal.

ρ   9.94 Mg/m³
Total magnetic moment   0.000 μB per atom
Energy relative to the elements   -0.314 eV/atom

Lattice parameters (Å, degrees): 6.111 7.407 7.407 111.48 98.31 98.31
Fractional positions:
Dy  0.917  0.627  0.784
Dy  0.034  0.937  0.269
Dy  0.583  0.216  0.373
Dy  0.466  0.731  0.063
Dy  0.534  0.269  0.937
Dy  0.417  0.784  0.627
Dy  0.966  0.063  0.731
Dy  0.083  0.373  0.216
Fe  0.250  0.998  0.002
Fe  0.750  0.002  0.998
Au  0.750  0.629  0.371
Au  0.250  0.371  0.629

***

(10)
DFT (PBE) results for a relaxed RuS2Cl4 crystal.

ρ   2.67 Mg/m³
Uncorrected formation energy   0.06 eV per atom
Total magnetic moment   0.280 μB per atom

Lattice parameters (Å, degrees): 4.059 3.649 15.560 97.26 108.62 113.76
Each line ends with the local moment (μB).
Fractional positions:
Ru  0.000  0.000  0.000  1.60
S  0.007  0.335  0.553  0.00
S  0.993  0.665  0.447  0.00
Cl  0.928  0.516  0.091  0.07
Cl  0.072  0.484  0.909  0.07
Cl  0.375  0.833  0.675  0.00
Cl  0.625  0.167  0.325  0.00

***

> Which value of ρ does entry 10 give?

2.67 Mg/m³